The following is a DFT calculation (PBE-GGA) of crystalline SrIrOF2 at its relaxed geometry.

Values from the calculation:
**Space-group type**: P4/mmm
**Energy above the most stable polymorph in this dataset**: 0 meV per atom
**Fermi-level density of states**: 0.437 states/eV per atom
**Total magnetization**: 0.000 μB per cell

The structure in extended XYZ format:
```
5
Lattice="-0.4703 0.5149 4.5722 -3.3899 -3.1464 0.0057 2.5604 -2.7576 0.5739" Properties=species:S:1:pos:R:3 pbc="T T T"
Sr -0.6499 -2.6945 2.5759
F -0.2351 0.2575 2.2861
F -1.6949 -1.5732 0.0029
O 1.2802 -1.3788 0.2870
Ir 0.0000 0.0000 0.0000
```